a.
# LiRuSe2N | Alexandria via LeMat-Bulk | PBE | relaxed
# DOS(E_F)   3.74 states/eV per cell
data_LiRuSe2N
_chemical_formula_sum 'Li1 Ru1 Se2 N1'
_symmetry_space_group_name_H-M 'P 1'
_symmetry_Int_Tables_number 1
_symmetry_space_group_name_Hall 'P 1'
_cell_length_a 4.651
_cell_length_b 4.651
_cell_length_c 3.377
_cell_angle_alpha 90.00
_cell_angle_beta 90.00
_cell_angle_gamma 90.00
loop_
_atom_site_label
_atom_site_fract_x
_atom_site_fract_y
_atom_site_fract_z
Ru1 0.500 0.500 0.500
Se1 0.500 0.000 0.000
Se2 0.000 0.500 0.000
Li1 0.000 0.000 0.000
N1 0.000 0.000 0.500

=====

b.
# LiRuSe2N | Alexandria via LeMat-Bulk | PBE | relaxed
# DOS(E_F)   6.09 states/eV per cell
data_LiRuSe2N
_chemical_formula_sum 'Li1 Ru1 Se2 N1'
_symmetry_space_group_name_H-M 'P 1'
_symmetry_Int_Tables_number 1
_symmetry_space_group_name_Hall 'P 1'
_cell_length_a 5.158
_cell_length_b 5.158
_cell_length_c 3.639
_cell_angle_alpha 90.00
_cell_angle_beta 90.00
_cell_angle_gamma 90.00
loop_
_atom_site_label
_atom_site_fract_x
_atom_site_fract_y
_atom_site_fract_z
Ru1 0.000 0.000 0.000
N1 0.000 0.000 0.500
Se1 0.000 0.500 0.000
Se2 0.500 0.000 0.000
Li1 0.500 0.500 0.500

=====

Energy ordering: b at the bottom, the next structure 1.014 eV/atom above.

=====

a.
# LiTe2RuN | Alexandria via LeMat-Bulk | PBE | relaxed
# DOS(E_F)   3.40 states/eV per cell
data_LiTe2RuN
_chemical_formula_sum 'Li1 Te2 Ru1 N1'
_symmetry_space_group_name_H-M 'P 1'
_symmetry_Int_Tables_number 1
_symmetry_space_group_name_Hall 'P 1'
_cell_length_a 5.557
_cell_length_b 5.557
_cell_length_c 3.624
_cell_angle_alpha 90.00
_cell_angle_beta 90.00
_cell_angle_gamma 90.00
loop_
_atom_site_label
_atom_site_fract_x
_atom_site_fract_y
_atom_site_fract_z
Li1 0.500 0.500 0.500
Ru1 0.000 0.000 0.000
N1 0.000 0.000 0.500
Te1 0.000 0.500 0.000
Te2 0.500 0.000 0.000

=====

b.
# LiTe2RuN | Alexandria via LeMat-Bulk | PBE | relaxed
# DOS(E_F)   5.81 states/eV per cell
data_LiTe2RuN
_chemical_formula_sum 'Li1 Te2 Ru1 N1'
_symmetry_space_group_name_H-M 'P 1'
_symmetry_Int_Tables_number 1
_symmetry_space_group_name_Hall 'P 1'
_cell_length_a 5.016
_cell_length_b 5.016
_cell_length_c 3.338
_cell_angle_alpha 90.00
_cell_angle_beta 90.00
_cell_angle_gamma 90.00
loop_
_atom_site_label
_atom_site_fract_x
_atom_site_fract_y
_atom_site_fract_z
Li1 0.000 0.000 0.000
Ru1 0.500 0.500 0.500
N1 0.000 0.000 0.500
Te1 0.500 0.000 0.000
Te2 0.000 0.500 0.000

=====

Energy ordering: a at the bottom, the next structure 0.987 eV/atom above.

=====

a.
# LiY2RuN | Alexandria via LeMat-Bulk | PBE | relaxed
# DOS(E_F)   2.69 states/eV per cell
data_LiY2RuN
_chemical_formula_sum 'Li1 Y2 Ru1 N1'
_symmetry_space_group_name_H-M 'P 1'
_symmetry_Int_Tables_number 1
_symmetry_space_group_name_Hall 'P 1'
_cell_length_a 4.914
_cell_length_b 4.914
_cell_length_c 3.887
_cell_angle_alpha 90.00
_cell_angle_beta 90.00
_cell_angle_gamma 90.00
loop_
_atom_site_label
_atom_site_fract_x
_atom_site_fract_y
_atom_site_fract_z
N1 0.000 0.000 0.000
Y1 0.000 0.500 0.000
Y2 0.500 0.000 0.000
Ru1 0.000 0.000 0.500
Li1 0.500 0.500 0.500

=====

b.
# LiY2RuN | Alexandria via LeMat-Bulk | PBE | relaxed
# DOS(E_F)   1.77 states/eV per cell
data_LiY2RuN
_chemical_formula_sum 'Li1 Y2 Ru1 N1'
_symmetry_space_group_name_H-M 'P 1'
_symmetry_Int_Tables_number 1
_symmetry_space_group_name_Hall 'P 1'
_cell_length_a 4.780
_cell_length_b 4.780
_cell_length_c 3.816
_cell_angle_alpha 90.00
_cell_angle_beta 90.00
_cell_angle_gamma 90.00
loop_
_atom_site_label
_atom_site_fract_x
_atom_site_fract_y
_atom_site_fract_z
Y1 0.000 0.500 0.000
Y2 0.500 0.000 0.000
Ru1 0.500 0.500 0.500
Li1 0.000 0.000 0.500
N1 0.000 0.000 0.000

=====

Energy ordering: a at the bottom, the next structure 0.041 eV/atom above.

=====

a.
# LiS2N2 | Alexandria via LeMat-Bulk | PBE | relaxed
# DOS(E_F)   3.61 states/eV per cell
data_LiS2N2
_chemical_formula_sum 'Li1 S2 N2'
_symmetry_space_group_name_H-M 'P 1'
_symmetry_Int_Tables_number 1
_symmetry_space_group_name_Hall 'P 1'
_cell_length_a 4.428
_cell_length_b 4.428
_cell_length_c 3.551
_cell_angle_alpha 90.00
_cell_angle_beta 90.00
_cell_angle_gamma 90.00
loop_
_atom_site_label
_atom_site_fract_x
_atom_site_fract_y
_atom_site_fract_z
S1 0.500 0.000 0.000
S2 0.000 0.500 0.000
N1 0.500 0.500 0.500
N2 0.000 0.000 0.500
Li1 0.000 0.000 0.000

=====

b.
# LiS2N2 | Alexandria via LeMat-Bulk | PBE | relaxed
# DOS(E_F)   2.41 states/eV per cell
data_LiS2N2
_chemical_formula_sum 'Li1 S2 N2'
_symmetry_space_group_name_H-M 'P 1'
_symmetry_Int_Tables_number 1
_symmetry_space_group_name_Hall 'P 1'
_cell_length_a 3.457
_cell_length_b 3.457
_cell_length_c 7.170
_cell_angle_alpha 90.00
_cell_angle_beta 90.00
_cell_angle_gamma 90.00
loop_
_atom_site_label
_atom_site_fract_x
_atom_site_fract_y
_atom_site_fract_z
Li1 0.000 0.000 0.000
N1 0.000 0.500 0.000
N2 0.500 0.000 0.000
S1 0.500 0.500 0.500
S2 0.000 0.000 0.500

=====

c.
# LiS2N2 | Alexandria via LeMat-Bulk | PBE | relaxed
# DOS(E_F)   3.09 states/eV per cell
data_LiS2N2
_chemical_formula_sum 'Li1 S2 N2'
_symmetry_space_group_name_H-M 'P 1'
_symmetry_Int_Tables_number 1
_symmetry_space_group_name_Hall 'P 1'
_cell_length_a 3.399
_cell_length_b 3.399
_cell_length_c 5.328
_cell_angle_alpha 90.00
_cell_angle_beta 90.00
_cell_angle_gamma 90.00
loop_
_atom_site_label
_atom_site_fract_x
_atom_site_fract_y
_atom_site_fract_z
N1 0.500 0.000 0.000
N2 0.000 0.500 0.000
S1 0.000 0.000 0.000
S2 0.000 0.000 0.500
Li1 0.500 0.500 0.500

=====

Energy ordering: c at the bottom, the next structure 0.756 eV/atom above.